1.
DFT (GGA+U) results for a relaxed VPb2ClO4 crystal.

Values from the calculation:
* E: -5.8408 eV/atom
* ρ: 6.3 Mg/m³

Lattice parameters (Å, degrees): 3.214 5.274 9.319 88.11 80.07 72.26
Positions (direct):
1 O 0.397 0.240 0.966
2 Cl 0.500 0.500 0.500
3 O 0.849 0.111 0.191
4 O 0.603 0.760 0.034
5 O 0.151 0.889 0.809
6 V 0.000 0.000 0.000
7 Pb 0.162 0.449 0.227
8 Pb 0.838 0.551 0.773

2.
DFT (GGA+U) results for a relaxed V3Pb5ClO12 crystal.

Values from the calculation:
* E: -6.5029 eV/atom
* D(E_F): 0.0 states/eV/f.u.
* ρ: 6.5 Mg/m³

Lattice parameters (Å, degrees): 10.694 10.694 7.291 90.00 90.00 120.00
Positions (direct):
1 O 0.393 0.520 0.750
2 O 0.607 0.480 0.250
3 Pb 0.771 0.734 0.250
4 O 0.642 0.726 0.561
5 Pb 0.964 0.229 0.250
6 Pb 0.266 0.036 0.250
7 O 0.873 0.393 0.250
8 V 0.027 0.416 0.750
9 O 0.915 0.642 0.061
10 V 0.611 0.027 0.250
11 Cl 0.000 0.000 0.500
12 O 0.520 0.127 0.250
13 Pb 0.734 0.964 0.750
14 O 0.085 0.358 0.939
15 O 0.352 0.510 0.250
16 Pb 0.667 0.333 0.991
17 O 0.274 0.915 0.561
18 V 0.389 0.973 0.750
19 O 0.085 0.358 0.561
20 Pb 0.667 0.333 0.509
21 O 0.127 0.607 0.750
22 O 0.480 0.873 0.750
23 O 0.158 0.648 0.250
24 O 0.490 0.842 0.250
25 O 0.726 0.085 0.439
26 V 0.584 0.611 0.750
27 O 0.642 0.726 0.939
28 O 0.358 0.274 0.439
29 Pb 0.036 0.771 0.750
30 O 0.358 0.274 0.061
31 V 0.416 0.389 0.250
32 Pb 0.333 0.667 0.491
33 O 0.842 0.352 0.750
34 O 0.648 0.490 0.750
35 O 0.915 0.642 0.439
36 O 0.274 0.915 0.939
37 Pb 0.333 0.667 0.009
38 O 0.726 0.085 0.061
39 O 0.510 0.158 0.750
40 Pb 0.229 0.266 0.750
41 Cl 0.000 0.000 0.000
42 V 0.973 0.584 0.250

3.
DFT (GGA+U) results for a relaxed VPbClO2 crystal.

Values from the calculation:
* E: -6.0755 eV/atom
* D(E_F): 0.0 states/eV/f.u.
* ρ: 5.1 Mg/m³

Lattice parameters (Å, degrees): 4.171 7.014 7.395 98.43 90.00 90.00
Positions (direct):
1 Pb 0.250 0.803 0.364
2 Cl 0.250 0.580 0.773
3 V 0.250 0.913 0.861
4 O 0.250 0.032 0.643
5 O 0.750 0.974 0.885
6 V 0.750 0.087 0.139
7 O 0.750 0.968 0.357
8 Cl 0.750 0.420 0.227
9 O 0.250 0.026 0.115
10 Pb 0.750 0.197 0.636